# 1
## BeTe3 (PBE)

Data for BeTe3 after structural relaxation.

Output
- electronic total energy (eV/atom) = -2.580
- formation energy from raw total energies (eV per atom) = 0.708
- calculated volume (Å³/cell) = 98

Geometry as CIF:
```
data_BeTe3
_cell_length_a 5.179
_cell_length_b 5.179
_cell_length_c 5.179
_cell_angle_alpha 60.00
_cell_angle_beta 60.00
_cell_angle_gamma 60.00
_symmetry_space_group_name_H-M 'P 1'
_symmetry_Int_Tables_number 1
loop_
_symmetry_equiv_pos_as_xyz
'x,y,z'
loop_
_atom_site_label
_atom_site_type_symbol
_atom_site_fract_x
_atom_site_fract_y
_atom_site_fract_z
Be1 Be 0.000 0.000 0.000
Te1 Te 0.250 0.250 0.250
Te2 Te 0.500 0.500 0.500
Te3 Te 0.750 0.750 0.750
```

---

# 2
## Na5ZnCd2Hg2 (PBE)

Data for Na5ZnCd2Hg2 after structural relaxation.

Output
- DFT formation energy (kJ/mol of atoms) = -5.7
- electronic total energy (eV/atom) = -1.089
- calculated volume (Å³/cell) = 549

Geometry as CIF:
```
data_Na5ZnCd2Hg2
_cell_length_a 12.680
_cell_length_b 12.680
_cell_length_c 3.412
_cell_angle_alpha 90.00
_cell_angle_beta 90.00
_cell_angle_gamma 90.00
_symmetry_space_group_name_H-M 'P 1'
_symmetry_Int_Tables_number 1
loop_
_symmetry_equiv_pos_as_xyz
'x,y,z'
loop_
_atom_site_label
_atom_site_type_symbol
_atom_site_fract_x
_atom_site_fract_y
_atom_site_fract_z
Na1 Na 0.000 0.500 0.000
Na2 Na 0.007 0.202 0.000
Na3 Na 0.202 0.993 0.000
Na4 Na 0.298 0.493 0.000
Na5 Na 0.493 0.702 0.000
Na6 Na 0.500 0.000 0.000
Na7 Na 0.507 0.298 0.000
Na8 Na 0.702 0.507 0.000
Na9 Na 0.798 0.007 0.000
Na10 Na 0.993 0.798 0.000
Zn1 Zn 0.000 0.000 0.500
Zn2 Zn 0.500 0.500 0.500
Cd1 Cd 0.177 0.677 0.500
Cd2 Cd 0.323 0.177 0.500
Cd3 Cd 0.677 0.823 0.500
Cd4 Cd 0.823 0.323 0.500
Hg1 Hg 0.157 0.343 0.500
Hg2 Hg 0.343 0.843 0.500
Hg3 Hg 0.657 0.157 0.500
Hg4 Hg 0.843 0.657 0.500
```

---

- Which value of calculated volume does entry 1 give?
  98 Å³/cell

---

- Which of these has the lowest electronic total energy?
  BeTe3